This record from Alexandria via LeMat-Bulk describes crystalline YSb2Ir at its relaxed geometry. The functional is PBE.

Volume in Å³ per cell: 187
Formation energy from raw total energies in meV per atom: -429
ρ in g cm⁻³: 9.33
DOS(E_F) in states/eV per cell: 3.122
Crystal system: orthorhombic
Spin magnetization in μB per atom: 0.00

Lattice parameters (Å, degrees): 3.675 4.180 12.156 90.00 90.00 90.00
Space group Imm2 (No. 44)
Unique sites:
Y 0.000 0.000 0.000
Sb 0.000 0.000 0.400
Sb 0.000 0.500 0.185
Ir 0.000 0.500 0.740

This record from Alexandria via LeMat-Bulk describes crystalline Cs2TlIF4 at its relaxed geometry. The functional is PBE.

Volume in Å³ per cell: 969
Formation energy from raw total energies in meV per atom: -1988
ρ in g cm⁻³: 4.62
DOS(E_F) in states/eV per cell: 0.000
Crystal system: monoclinic
Spin magnetization in μB per atom: 0.00

Lattice parameters (Å, degrees): 10.374 14.473 8.041 90.00 126.64 90.00
Space group C2/c (No. 15)
Unique sites:
Cs 0.000 0.000 0.000
Cs 0.250 0.250 0.000
Tl 0.000 0.500 0.000
I 0.250 0.250 0.500
F 0.082 0.206 0.555
F 0.214 0.450 0.947

This record from Alexandria via LeMat-Bulk describes crystalline LiCdS2 at its relaxed geometry. The functional is PBE.

Volume in Å³ per cell: 372
Formation energy from raw total energies in meV per atom: -519
ρ in g cm⁻³: 3.28
DOS(E_F) in states/eV per cell: 21.296
Crystal system: tetragonal
Spin magnetization in μB per atom: 0.00

Lattice parameters (Å, degrees): 5.740 5.740 11.292 90.00 90.00 90.00
Space group I-42d (No. 122)
Unique sites:
Li 0.000 0.000 0.000
Cd 0.000 0.000 0.500
S 0.234 0.250 0.125

This record from Alexandria via LeMat-Bulk describes crystalline SrVAg at its relaxed geometry. The functional is PBE.

Volume in Å³ per cell: 389
ΔE to the lowest computed polymorph in meV/atom: 741
ρ in g cm⁻³: 4.21
DOS(E_F) in states/eV per cell: 21.455
Crystal system: cubic
Spin magnetization in μB per atom: 1.48
ΔE_f in eV per atom: 1.13

Lattice parameters (Å, degrees): 7.297 7.297 7.297 90.00 90.00 90.00
Space group F-43m (No. 216)
Unique sites:
Sr 0.000 0.000 0.000
V 0.250 0.250 0.750
Ag 0.250 0.250 0.250

This record from Alexandria via LeMat-Bulk describes crystalline Sr2Hg2I at its relaxed geometry. The functional is PBE.

Volume in Å³ per cell: 365
Formation energy from raw total energies in meV per atom: -623
ΔE to the lowest computed polymorph in meV/atom: 74
ρ in g cm⁻³: 6.40
DOS(E_F) in states/eV per cell: 7.582
Crystal system: tetragonal
Spin magnetization in μB per atom: 0.00

Lattice parameters (Å, degrees): 4.404 4.404 18.829 90.00 90.00 90.00
Space group I4/mmm (No. 139)
Unique sites:
Sr 0.000 0.000 0.118
Hg 0.000 0.500 0.250
I 0.000 0.000 0.500

This record from Alexandria via LeMat-Bulk describes crystalline Ag3SbAu6 at its relaxed geometry. The functional is PBE.

Volume in Å³ per cell: 630
Formation energy from raw total energies in meV per atom: 118
ρ in g cm⁻³: 12.86
DOS(E_F) in states/eV per cell: 10.308
Crystal system: trigonal
Spin magnetization in μB per atom: 0.00

Lattice parameters (Å, degrees): 11.6563 11.6563 5.3576 90.00 90.00 120.00
Space group R3m (No. 160, hexagonal axes)
Unique sites:
Ag 0.1709 0.3419 0.0000
Sb 0.0000 0.0000 0.2602
Au 0.0994 0.5497 0.1582
Au 0.1712 0.0856 0.8584

This record from Alexandria via LeMat-Bulk describes crystalline KRb2Pb2 at its relaxed geometry. The functional is PBE.

Volume in Å³ per cell: 479
ΔE to the lowest computed polymorph in meV/atom: 58
ρ in g cm⁻³: 4.33
DOS(E_F) in states/eV per cell: 6.117
Crystal system: tetragonal
Spin magnetization in μB per atom: 0.00
ΔE_f in eV per atom: -0.03

Lattice parameters (Å, degrees): 10.406 10.406 4.419 90.00 90.00 90.00
Space group P4/mbm (No. 127)
Unique sites:
K 0.000 0.000 0.000
Rb 0.187 0.313 0.500
Pb 0.104 0.604 0.000

This record from Alexandria via LeMat-Bulk describes crystalline FeTeMo2 at its relaxed geometry. The functional is PBE.

Volume in Å³ per cell: 128
Formation energy from raw total energies in meV per atom: 458
ΔE to the lowest computed polymorph in meV/atom: 140
ρ in g cm⁻³: 9.72
DOS(E_F) in states/eV per cell: 8.671
Crystal system: tetragonal
Spin magnetization in μB per atom: 0.64

Lattice parameters (Å, degrees): 3.975 3.975 8.115 90.00 90.00 90.00
Space group I-4m2 (No. 119)
Unique sites:
Fe 0.000 0.000 0.000
Te 0.000 0.500 0.250
Mo 0.000 0.000 0.500
Mo 0.000 0.500 0.750

This record from Alexandria via LeMat-Bulk describes crystalline Nd2YIr at its relaxed geometry. The functional is PBE.

Volume in Å³ per cell: 465
ΔE to the lowest computed polymorph in meV/atom: 0
ρ in g cm⁻³: 8.14
DOS(E_F) in states/eV per cell: 18.111
Crystal system: orthorhombic
Spin magnetization in μB per atom: 0.00
ΔE_f in eV per atom: -0.48

Lattice parameters (Å, degrees): 7.336 9.860 6.428 90.00 90.00 90.00
Space group Pnma (No. 62)
Unique sites:
Nd 0.178 0.065 0.173
Y 0.037 0.250 0.646
Ir 0.120 0.750 0.950

This record from Alexandria via LeMat-Bulk describes crystalline Li3Mg4Pt2 at its relaxed geometry. The functional is PBE.

Volume in Å³ per cell: 303
ρ in g cm⁻³: 5.58
DOS(E_F) in states/eV per cell: 9.841
Crystal system: monoclinic
Spin magnetization in μB per atom: 0.00
ΔE_f in eV per atom: -0.54

Lattice parameters (Å, degrees): 7.851 4.514 8.537 90.00 90.45 90.00
Space group C2/m (No. 12)
Unique sites:
Li 0.000 0.000 0.000
Li 0.167 0.500 0.543
Mg 0.001 0.000 0.317
Mg 0.166 0.500 0.889
Pt 0.167 0.500 0.218

This record from Alexandria via LeMat-Bulk describes crystalline PaTiGe at its relaxed geometry. The functional is PBE.

Volume in Å³ per cell: 258
ΔE to the lowest computed polymorph in meV/atom: 417
ρ in g cm⁻³: 9.04
DOS(E_F) in states/eV per cell: 19.786
Crystal system: orthorhombic
Spin magnetization in μB per atom: 0.13
ΔE_f in eV per atom: 0.02

Lattice parameters (Å, degrees): 4.695 5.124 10.731 90.00 90.00 90.00
Space group Imma (No. 74)
Unique sites:
Pa 0.000 0.250 0.099
Ti 0.000 0.250 0.820
Ge 0.000 0.250 0.572

This record from Alexandria via LeMat-Bulk describes crystalline CsEuCl3 at its relaxed geometry. The functional is PBE.

Volume in Å³ per cell: 183
Formation energy from raw total energies in meV per atom: -2238
ρ in g cm⁻³: 3.54
Crystal system: cubic
Spin magnetization in μB per atom: 1.40

Lattice parameters (Å, degrees): 5.680 5.680 5.680 90.00 90.00 90.00
Space group Pm-3m (No. 221)
Unique sites:
Cs 0.000 0.000 0.000
Eu 0.500 0.500 0.500
Cl 0.000 0.500 0.500

> ρ of number 1 (YSb2Ir)?

9.33 g cm⁻³

Please write out number 4 again, unchanged.
This record from Alexandria via LeMat-Bulk describes crystalline SrVAg at its relaxed geometry. The functional is PBE.

Volume in Å³ per cell: 389
ΔE to the lowest computed polymorph in meV/atom: 741
ρ in g cm⁻³: 4.21
DOS(E_F) in states/eV per cell: 21.455
Crystal system: cubic
Spin magnetization in μB per atom: 1.48
ΔE_f in eV per atom: 1.13

Lattice parameters (Å, degrees): 7.297 7.297 7.297 90.00 90.00 90.00
Space group F-43m (No. 216)
Unique sites:
Sr 0.000 0.000 0.000
V 0.250 0.250 0.750
Ag 0.250 0.250 0.250

> What is the formula in the fourth record?

SrVAg

> What is the formula in the twelfth record?

CsEuCl3